Here is a relaxed structure of PaCo from the Alexandria database. Energies are from PBE.

Output
Spin magnetization in μB/f.u.: 0.000
Space group: Pnma (62)
Fermi-level density of states in states/eV/cell: 10.3
E_tot in eV per atom: -8.66
ΔE_f in eV/atom: -0.364

Unit cell a=3.6595 b=5.5671 c=7.2702 alpha=90.00 beta=90.00 gamma=90.00
Element x y z (fractional)
Pa 0.7500 0.8301 0.8296
Pa 0.2500 0.1699 0.1704
Co 0.7500 0.3364 0.9394
Pa 0.7500 0.6699 0.3296
Pa 0.2500 0.3301 0.6704
Co 0.2500 0.6636 0.0606
Co 0.7500 0.1636 0.4394
Co 0.2500 0.8364 0.5606